A plane-wave DFT calculation with PBE was carried out for a relaxed Er3MgCd3 crystal.

Cell: 7.3996 7.3996 6.8502 Å, 90.03 90.03 91.35°
Element x y z (fractional)
Er  0.0007  0.0007  0.2492
Er  0.0009  0.4990  0.7496
Er  0.4990  0.0009  0.7496
Er  0.5010  0.9991  0.2504
Er  0.9991  0.5010  0.2504
Er  0.9993  0.9993  0.7508
Mg  0.3284  0.3284  0.0025
Mg  0.6716  0.6716  0.9975
Cd  0.2613  0.7387  0.0000
Cd  0.2859  0.2859  0.4987
Cd  0.2866  0.7134  0.5000
Cd  0.7134  0.2866  0.5000
Cd  0.7141  0.7141  0.5013
Cd  0.7387  0.2613  0.0000

* E_form: -0.1255 eV/atom
* space group: C2/m
* total magnetic moment: 0.32 μB per formula unit